No. 1
# CsTl2Sb2 | Alexandria | GGA-PBE | optimized geometry
data_CsTl2Sb2
_chemical_formula_sum 'Cs2 Tl4 Sb4'
_space_group_name_H-M_alt 'P 1'
_space_group_IT_number 1
_space_group_name_Hall 'P 1'
_cell_length_a 9.804
_cell_length_b 9.804
_cell_length_c 3.605
_cell_angle_alpha 90.00
_cell_angle_beta 90.00
_cell_angle_gamma 90.00
loop_
_atom_site_label
_atom_site_type_symbol
_atom_site_fract_x
_atom_site_fract_y
_atom_site_fract_z
Cs1 Cs 0.500 0.500 0.000
Tl1 Tl 0.371 0.129 0.000
Sb1 Sb 0.663 0.163 0.500
Tl2 Tl 0.129 0.629 0.000
Tl3 Tl 0.871 0.371 0.000
Tl4 Tl 0.629 0.871 0.000
Sb2 Sb 0.837 0.663 0.500
Sb3 Sb 0.163 0.337 0.500
Sb4 Sb 0.337 0.837 0.500
Cs2 Cs 0.000 0.000 0.000
# SG	P4/mbm (127)
# E_form (uncorrected)	-0.0945	eV/atom
# distance to the lowest polymorph of the same formula	114	meV per atom

No. 2
# Ho7Ga2Pb2 | Alexandria | GGA-PBE | optimized geometry
data_Ho7Ga2Pb2
_chemical_formula_sum 'Ho7 Ga2 Pb2'
_space_group_name_H-M_alt 'P 1'
_space_group_IT_number 1
_space_group_name_Hall 'P 1'
_cell_length_a 6.875
_cell_length_b 7.250
_cell_length_c 6.875
_cell_angle_alpha 90.00
_cell_angle_beta 107.13
_cell_angle_gamma 90.00
loop_
_atom_site_label
_atom_site_type_symbol
_atom_site_fract_x
_atom_site_fract_y
_atom_site_fract_z
Ho1 Ho 0.000 0.000 0.000
Ho2 Ho 0.500 0.729 0.000
Pb1 Pb 0.813 0.500 0.813
Pb2 Pb 0.187 0.500 0.187
Ga1 Ga 0.716 0.000 0.284
Ho3 Ho 0.500 0.239 0.500
Ga2 Ga 0.284 0.000 0.716
Ho4 Ho 0.500 0.271 0.000
Ho5 Ho 0.000 0.729 0.500
Ho6 Ho 0.500 0.761 0.500
Ho7 Ho 0.000 0.271 0.500
# energy relative to the elements	-4.2	kcal/mol of atoms
# SG	Cmmm (65)

No. 3
# TlZnIN2 | Alexandria | GGA-PBE | optimized geometry
data_TlZnIN2
_chemical_formula_sum 'Tl1 Zn1 I1 N2'
_space_group_name_H-M_alt 'P 1'
_space_group_IT_number 1
_space_group_name_Hall 'P 1'
_cell_length_a 4.316
_cell_length_b 4.316
_cell_length_c 7.659
_cell_angle_alpha 90.00
_cell_angle_beta 90.00
_cell_angle_gamma 90.00
loop_
_atom_site_label
_atom_site_type_symbol
_atom_site_fract_x
_atom_site_fract_y
_atom_site_fract_z
N1 N 0.000 0.500 0.000
Tl1 Tl 0.000 0.000 0.000
I1 I 0.000 0.000 0.500
Zn1 Zn 0.500 0.500 0.500
N2 N 0.500 0.000 0.000
# SG	P4/mmm (123)
# E_form (uncorrected)	1.6652	eV/atom
# distance to the lowest polymorph of the same formula	345	meV per atom

No. 4
# La4Sm6Ho | Alexandria | GGA-PBE | optimized geometry
data_La4Sm6Ho
_chemical_formula_sum 'La4 Sm6 Ho1'
_space_group_name_H-M_alt 'P 1'
_space_group_IT_number 1
_space_group_name_Hall 'P 1'
_cell_length_a 7.646
_cell_length_b 7.646
_cell_length_c 8.735
_cell_angle_alpha 115.96
_cell_angle_beta 115.96
_cell_angle_gamma 90.00
loop_
_atom_site_label
_atom_site_type_symbol
_atom_site_fract_x
_atom_site_fract_y
_atom_site_fract_z
Sm1 Sm 0.538 0.538 0.629
Sm2 Sm 0.462 0.908 0.371
La1 La 0.742 0.099 0.841
La2 La 0.099 0.742 0.841
Sm3 Sm 0.908 0.462 0.371
Sm4 Sm 0.000 0.500 0.000
Ho1 Ho 0.500 0.500 0.000
Sm5 Sm 0.500 0.000 0.000
La3 La 0.258 0.258 0.159
Sm6 Sm 0.092 0.092 0.629
La4 La 0.901 0.901 0.159
# energy relative to the elements	8.8	kcal/mol of atoms
# SG	I-42m (121)
# distance to the lowest polymorph of the same formula	110	meV per atom

No. 5
# Y3MgRh | Alexandria | GGA-PBE | optimized geometry
data_Y3MgRh
_chemical_formula_sum 'Y6 Mg2 Rh2'
_space_group_name_H-M_alt 'P 1'
_space_group_IT_number 1
_space_group_name_Hall 'P 1'
_cell_length_a 3.835
_cell_length_b 9.075
_cell_length_c 9.073
_cell_angle_alpha 69.52
_cell_angle_beta 90.00
_cell_angle_gamma 90.00
loop_
_atom_site_label
_atom_site_type_symbol
_atom_site_fract_x
_atom_site_fract_y
_atom_site_fract_z
Y1 Y 0.863 0.369 0.826
Mg1 Mg 0.364 0.694 0.747
Y2 Y 0.363 0.387 0.439
Y3 Y 0.863 0.019 0.667
Y4 Y 0.863 0.615 0.072
Mg2 Mg 0.863 0.194 0.247
Rh1 Rh 0.363 0.194 0.746
Y5 Y 0.363 0.001 0.054
Y6 Y 0.863 0.774 0.421
Rh2 Rh 0.363 0.694 0.246
# energy relative to the elements	-6.6	kcal/mol of atoms
# SG	Cmmm (65)
# distance to the lowest polymorph of the same formula	0	meV per atom

No. 6
# TeAs2Ir | Alexandria | GGA-PBE | optimized geometry
data_TeAs2Ir
_chemical_formula_sum 'Te1 As2 Ir1'
_space_group_name_H-M_alt 'P 1'
_space_group_IT_number 1
_space_group_name_Hall 'P 1'
_cell_length_a 3.632
_cell_length_b 4.999
_cell_length_c 5.159
_cell_angle_alpha 62.57
_cell_angle_beta 90.00
_cell_angle_gamma 90.00
loop_
_atom_site_label
_atom_site_type_symbol
_atom_site_fract_x
_atom_site_fract_y
_atom_site_fract_z
As1 As 0.000 0.466 0.438
Te1 Te 0.500 0.750 0.750
Ir1 Ir 0.500 0.250 0.250
As2 As 0.000 0.034 0.062
# SG	P2/m (10)
# E_form (uncorrected)	-0.0226	eV/atom

No. 7
# AcLa2IO8 | Alexandria | GGA-PBE | optimized geometry
data_AcLa2IO8
_chemical_formula_sum 'Ac1 La2 I1 O8'
_space_group_name_H-M_alt 'P 1'
_space_group_IT_number 1
_space_group_name_Hall 'P 1'
_cell_length_a 5.287
_cell_length_b 5.291
_cell_length_c 7.304
_cell_angle_alpha 90.00
_cell_angle_beta 90.00
_cell_angle_gamma 89.95
loop_
_atom_site_label
_atom_site_type_symbol
_atom_site_fract_x
_atom_site_fract_y
_atom_site_fract_z
La1 La 0.500 0.500 0.245
La2 La 0.500 0.500 0.755
O1 O 0.825 0.177 0.192
O2 O 0.825 0.177 0.808
O3 O 0.679 0.682 0.500
O4 O 0.175 0.823 0.808
O5 O 0.745 0.747 0.000
Ac1 Ac 0.000 0.000 0.500
O6 O 0.321 0.318 0.500
O7 O 0.255 0.253 0.000
I1 I 0.000 0.000 0.000
O8 O 0.175 0.823 0.192
# SG	P2/m (10)
# E_form (uncorrected)	-2.2899	eV/atom

No. 8
# Na3Sn2Au2 | Alexandria | GGA-PBE | optimized geometry
data_Na3Sn2Au2
_chemical_formula_sum 'Na3 Sn2 Au2'
_space_group_name_H-M_alt 'P 1'
_space_group_IT_number 1
_space_group_name_Hall 'P 1'
_cell_length_a 4.095
_cell_length_b 4.188
_cell_length_c 10.710
_cell_angle_alpha 101.28
_cell_angle_beta 101.19
_cell_angle_gamma 90.00
loop_
_atom_site_label
_atom_site_type_symbol
_atom_site_fract_x
_atom_site_fract_y
_atom_site_fract_z
Sn1 Sn 0.120 0.622 0.243
Au1 Au 0.369 0.867 0.735
Sn2 Sn 0.880 0.378 0.757
Au2 Au 0.631 0.133 0.265
Na1 Na 0.750 0.750 0.500
Na2 Na 0.000 0.000 0.000
Na3 Na 0.250 0.250 0.500
# energy relative to the elements	-4.5	kcal/mol of atoms
# SG	C2/m (12)
# distance to the lowest polymorph of the same formula	46	meV per atom

No. 9
# Tl2SnI | Alexandria | GGA-PBE | optimized geometry
data_Tl2SnI
_chemical_formula_sum 'Tl2 Sn1 I1'
_space_group_name_H-M_alt 'P 1'
_space_group_IT_number 1
_space_group_name_Hall 'P 1'
_cell_length_a 5.708
_cell_length_b 5.708
_cell_length_c 5.708
_cell_angle_alpha 60.00
_cell_angle_beta 60.00
_cell_angle_gamma 60.00
loop_
_atom_site_label
_atom_site_type_symbol
_atom_site_fract_x
_atom_site_fract_y
_atom_site_fract_z
Tl1 Tl 0.250 0.250 0.250
Sn1 Sn 0.000 0.000 0.000
Tl2 Tl 0.750 0.750 0.750
I1 I 0.500 0.500 0.500
# SG	Fm-3m (225)
# E_form (uncorrected)	0.0216	eV/atom
# distance to the lowest polymorph of the same formula	7	meV per atom

No. 10
# Rb2ScCu2Te4 | Alexandria | GGA-PBE | optimized geometry
data_Rb2ScCu2Te4
_chemical_formula_sum 'Rb2 Sc1 Cu2 Te4'
_space_group_name_H-M_alt 'P 1'
_space_group_IT_number 1
_space_group_name_Hall 'P 1'
_cell_length_a 4.197
_cell_length_b 8.754
_cell_length_c 8.144
_cell_angle_alpha 107.51
_cell_angle_beta 104.93
_cell_angle_gamma 90.00
loop_
_atom_site_label
_atom_site_type_symbol
_atom_site_fract_x
_atom_site_fract_y
_atom_site_fract_z
Sc1 Sc 0.000 0.000 0.000
Te1 Te 0.521 0.780 0.042
Cu1 Cu 0.686 0.986 0.372
Te2 Te 0.196 0.175 0.392
Cu2 Cu 0.314 0.014 0.628
Rb1 Rb 0.868 0.444 0.737
Te3 Te 0.479 0.220 0.958
Rb2 Rb 0.132 0.556 0.263
Te4 Te 0.804 0.825 0.608
# SG	C2/m (12)
# E_form (uncorrected)	-0.7839	eV/atom

No. 11
# K3ZnAs2 | Alexandria | GGA-PBE | optimized geometry
data_K3ZnAs2
_chemical_formula_sum 'K6 Zn2 As4'
_space_group_name_H-M_alt 'P 1'
_space_group_IT_number 1
_space_group_name_Hall 'P 1'
_cell_length_a 7.399
_cell_length_b 8.916
_cell_length_c 9.062
_cell_angle_alpha 119.47
_cell_angle_beta 114.09
_cell_angle_gamma 90.00
loop_
_atom_site_label
_atom_site_type_symbol
_atom_site_fract_x
_atom_site_fract_y
_atom_site_fract_z
K1 K 0.770 0.520 0.541
K2 K 0.230 0.980 0.459
Zn1 Zn 0.000 0.000 0.000
K3 K 0.500 0.250 0.000
As1 As 0.650 0.387 0.774
As2 As 0.350 0.613 0.226
K4 K 0.500 0.750 0.000
K5 K 0.770 0.020 0.541
K6 K 0.230 0.480 0.459
As3 As 0.876 0.113 0.226
Zn2 Zn 0.000 0.500 0.000
As4 As 0.124 0.887 0.774
# energy relative to the elements	-6.0	kcal/mol of atoms
# SG	Ibam (72)
# distance to the lowest polymorph of the same formula	67	meV per atom

No. 12
# K3SrBr | Alexandria | GGA-PBE | optimized geometry
data_K3SrBr
_chemical_formula_sum 'K3 Sr1 Br1'
_space_group_name_H-M_alt 'P 1'
_space_group_IT_number 1
_space_group_name_Hall 'P 1'
_cell_length_a 7.946
_cell_length_b 7.946
_cell_length_c 7.946
_cell_angle_alpha 90.00
_cell_angle_beta 90.00
_cell_angle_gamma 90.00
loop_
_atom_site_label
_atom_site_type_symbol
_atom_site_fract_x
_atom_site_fract_y
_atom_site_fract_z
K1 K 0.000 0.000 0.500
Sr1 Sr 0.000 0.000 0.000
Br1 Br 0.500 0.500 0.500
K2 K 0.000 0.500 0.000
K3 K 0.500 0.000 0.000
# SG	Pm-3m (221)
# E_form (uncorrected)	0.1239	eV/atom
# distance to the lowest polymorph of the same formula	635	meV per atom

| no. | magnetization (μB/cell) | D(E_F) (states/eV per cell) |
| --- | --- | --- |
| 1 | 0.0 | 8.07 |
| 2 | 0.0 | 9.36 |
| 3 | 2.8 | 3.59 |
| 4 | 0.0 | 15.19 |
| 5 | 0.0 | 8.45 |
| 6 | 0.0 | 2.44 |
| 7 | 0.0 | 0.00 |
| 8 | 0.0 | 2.34 |
| 9 | 0.0 | 2.60 |
| 10 | 0.0 | 2.92 |
| 11 | 2.1 | 10.13 |
| 12 | 1.9 | 3.60 |